DFT (PBE with a Hubbard U) results for crystalline CoAg2F6 at its relaxed geometry.

POSCAR file:
```
CoAg2F6
1.0
5.728 0.000 0.000
0.000 8.827 0.000
-3.648 0.000 5.492
Co Ag F
2 4 12
Cartesian
0.000 0.000 0.000
-1.824 4.413 2.746
-0.923 1.011 3.930
0.901 3.403 1.184
1.179 5.424 4.307
3.003 7.816 1.562
-0.768 0.142 1.861
-2.592 4.271 4.607
-0.826 5.870 3.273
0.998 7.371 0.527
1.560 1.175 0.377
-0.264 3.239 3.122
2.343 5.588 2.369
0.519 7.652 5.115
1.082 1.456 4.965
2.906 2.957 2.219
4.672 4.556 0.885
2.848 8.685 3.631
```

Output
volume	15.43	Å³ per atom
SG	P2_1/c (14)
calculated density	4.6	g/cm³
final energy	-35.1	eV/f.u.